CaMg4Mo | meta-GGA SCAN | single point on PBEsol structure

Calculated volume (Å³ per atom): 22.54
E_tot (eV/atom): -10.409
D(E_F) (states/eV/f.u.): 3.24
Crystal system: cubic
ΔH_f (0 K) (eV/atom): 0.33
Total magnetization (μB per atom): 0.64

abc: 8.148 8.148 8.148
angles: 90.00 90.00 90.00
Space group F-43m (No. 216)
Symmetry-distinct sites (fractional):
1 Ca 0.000 0.000 0.000
2 Mg 0.124 0.124 0.376
3 Mo 0.250 0.250 0.750

---

TaB2Ir | meta-GGA SCAN | single point on PBEsol structure

Calculated volume (Å³ per atom): 10.80
E_tot (eV/atom): -37.913
D(E_F) (states/eV/f.u.): 3.52
Crystal system: cubic
ΔH_f (0 K) (eV/atom): 0.22
Total magnetization (μB per atom): 0.00

abc: 5.569 5.569 5.569
angles: 90.00 90.00 90.00
Space group Fm-3m (No. 225)
Symmetry-distinct sites (fractional):
1 Ta 0.000 0.000 0.000
2 B 0.250 0.250 0.250
3 Ir 0.000 0.000 0.500

---

AlSb2P | meta-GGA SCAN | single point on PBEsol structure

Calculated volume (Å³ per atom): 22.85
E_tot (eV/atom): -23.069
Uncorrected formation energy (eV/atom): 0.099
D(E_F) (states/eV/f.u.): 1.08
Offset from the most stable computed form (eV per formula unit): 0.50
Crystal system: tetragonal
Total magnetization (μB per atom): 0.00

abc: 3.953 3.953 5.850
angles: 90.00 90.00 90.00
Space group P4mm (No. 99)
Symmetry-distinct sites (fractional):
1 Al 0.000 0.000 0.000
2 Sb 0.000 0.000 0.477
3 Sb 0.500 0.500 0.955
4 P 0.500 0.500 0.520

---

La2TlW | meta-GGA SCAN | single point on PBEsol structure

Calculated volume (Å³ per atom): 26.15
E_tot (eV/atom): -56.786
D(E_F) (states/eV/f.u.): 4.50
Crystal system: orthorhombic
ΔH_f (0 K) (eV/atom): 0.28
Total magnetization (μB per atom): 0.00

abc: 4.743 4.775 9.238
angles: 90.00 90.00 90.00
Space group Cmmm (No. 65)
Symmetry-distinct sites (fractional):
1 La 0.000 0.000 0.210
2 Tl 0.000 0.500 0.500
3 W 0.000 0.500 0.000

---

AlTeO4 | meta-GGA SCAN | single point on PBEsol structure

Calculated volume (Å³ per atom): 10.59
E_tot (eV/atom): -13.586
Uncorrected formation energy (eV/atom): -1.932
D(E_F) (states/eV/f.u.): 0.98
Crystal system: orthorhombic
Total magnetization (μB per atom): 0.00

abc: 4.538 11.473 4.883
angles: 90.00 90.00 90.00
Space group Pbcn (No. 60)
Symmetry-distinct sites (fractional):
1 Al 0.000 0.064 0.250
2 Te 0.000 0.334 0.250
3 O 0.224 0.187 0.089
4 O 0.228 0.051 0.570

---

LaMgRe | meta-GGA SCAN | single point on PBEsol structure

Calculated volume (Å³ per atom): 21.22
E_tot (eV/atom): -39.220
D(E_F) (states/eV/f.u.): 2.99
Offset from the most stable computed form (eV per formula unit): 0.00
Crystal system: orthorhombic
ΔH_f (0 K) (eV/atom): 0.51
Total magnetization (μB per atom): 0.00

abc: 2.869 4.333 10.241
angles: 90.00 90.00 90.00
Space group Imm2 (No. 44)
Symmetry-distinct sites (fractional):
1 La 0.000 0.000 0.000
2 Mg 0.000 0.000 0.295
3 Re 0.000 0.000 0.680

---

Na2Ag2Hg | meta-GGA SCAN | single point on PBEsol structure

Calculated volume (Å³ per atom): 22.72
E_tot (eV/atom): -27.930
D(E_F) (states/eV/f.u.): 1.43
Crystal system: tetragonal
ΔH_f (0 K) (eV/atom): -0.06
Total magnetization (μB per atom): 0.00

abc: 7.162 7.162 4.429
angles: 90.00 90.00 90.00
Space group P4/mbm (No. 127)
Symmetry-distinct sites (fractional):
1 Na 0.170 0.330 0.000
2 Ag 0.133 0.633 0.500
3 Hg 0.000 0.000 0.500

---

ZrSc2Fe | meta-GGA SCAN | single point on PBEsol structure

Calculated volume (Å³ per atom): 18.34
E_tot (eV/atom): -19.132
D(E_F) (states/eV/f.u.): 4.32
Offset from the most stable computed form (eV per formula unit): 0.90
Crystal system: monoclinic
ΔH_f (0 K) (eV/atom): 0.19
Total magnetization (μB per atom): 0.13

abc: 3.159 4.264 5.660
angles: 90.00 105.84 90.00
Space group P2/m (No. 10)
Symmetry-distinct sites (fractional):
1 Zr 0.000 0.000 0.000
2 Sc 0.386 0.500 0.722
3 Fe 0.000 0.000 0.500

---

CaCoCl2 | meta-GGA SCAN | single point on PBEsol structure

Calculated volume (Å³ per atom): 17.10
E_tot (eV/atom): -11.359
Uncorrected formation energy (eV/atom): -0.628
D(E_F) (states/eV/f.u.): 6.96
Offset from the most stable computed form (eV per formula unit): 1.98
Crystal system: cubic
Total magnetization (μB per atom): 0.72

abc: 6.492 6.492 6.492
angles: 90.00 90.00 90.00
Space group Fm-3m (No. 225)
Symmetry-distinct sites (fractional):
1 Ca 0.000 0.000 0.000
2 Co 0.000 0.000 0.500
3 Cl 0.250 0.250 0.250

---

MnPbBr2 | meta-GGA SCAN | single point on PBEsol structure

Calculated volume (Å³ per atom): 26.28
E_tot (eV/atom): -33.744
Uncorrected formation energy (eV/atom): -0.505
D(E_F) (states/eV/f.u.): 1.84
Offset from the most stable computed form (eV per formula unit): 0.12
Crystal system: orthorhombic
Total magnetization (μB per atom): 1.16

abc: 3.530 6.264 9.509
angles: 90.00 90.00 90.00
Space group Cmmm (No. 65)
Symmetry-distinct sites (fractional):
1 Mn 0.000 0.000 0.000
2 Pb 0.000 0.000 0.500
3 Br 0.000 0.500 0.192

---

Rb2LiHI | meta-GGA SCAN | single point on PBEsol structure

Calculated volume (Å³ per atom): 53.17
E_tot (eV/atom): -17.009
D(E_F) (states/eV/f.u.): 1.46
Crystal system: tetragonal
Total magnetization (μB per atom): 0.00

abc: 7.033 7.033 5.375
angles: 90.00 90.00 90.00
Space group P4/mmm (No. 123)
Symmetry-distinct sites (fractional):
1 Rb 0.000 0.500 0.000
2 Li 0.000 0.000 0.500
3 H 0.500 0.500 0.500
4 I 0.000 0.000 0.000

---

AlAgS3 | meta-GGA SCAN | single point on PBEsol structure

Calculated volume (Å³ per atom): 20.98
E_tot (eV/atom): -12.853
Uncorrected formation energy (eV/atom): 0.748
D(E_F) (states/eV/f.u.): 4.97
Crystal system: cubic
Total magnetization (μB per atom): 0.00

abc: 4.717 4.717 4.717
angles: 90.00 90.00 90.00
Space group Pm-3m (No. 221)
Symmetry-distinct sites (fractional):
1 Al 0.000 0.000 0.000
2 Ag 0.500 0.500 0.500
3 S 0.000 0.500 0.500

---

Be2CoReMo | meta-GGA SCAN | single point on PBEsol structure

Calculated volume (Å³ per atom): 15.93
E_tot (eV/atom): -24.623
D(E_F) (states/eV/f.u.): 2.71
Crystal system: tetragonal
ΔH_f (0 K) (eV/atom): 1.78
Total magnetization (μB per atom): 0.60

abc: 4.157 4.157 4.609
angles: 90.00 90.00 90.00
Space group P4/mmm (No. 123)
Symmetry-distinct sites (fractional):
1 Be 0.000 0.500 0.000
2 Co 0.000 0.000 0.500
3 Re 0.500 0.500 0.500
4 Mo 0.500 0.500 0.000

---

FeAgPt2 | meta-GGA SCAN | single point on PBEsol structure

Calculated volume (Å³ per atom): 14.57
E_tot (eV/atom): -47.514
D(E_F) (states/eV/f.u.): 2.20
Crystal system: trigonal
ΔH_f (0 K) (eV/atom): -0.04
Total magnetization (μB per atom): 0.85

abc: 2.7274 2.7274 27.1490
angles: 90.00 90.00 120.00
Space group R3m (No. 160, hexagonal axes)
Symmetry-distinct sites (fractional):
1 Fe 0.0000 0.0000 0.0000
2 Ag 0.0000 0.0000 0.7489
3 Pt 0.0000 0.0000 0.2578
4 Pt 0.0000 0.0000 0.5032

---

Li2MnO2F | meta-GGA SCAN | single point on PBEsol structure

Calculated volume (Å³ per atom): 8.64
E_tot (eV/atom): -8.987
Uncorrected formation energy (eV/atom): -2.481
D(E_F) (states/eV/f.u.): 1.19
Offset from the most stable computed form (eV per formula unit): 0.35
Crystal system: orthorhombic
Total magnetization (μB per atom): 0.67

abc: 3.904 13.421 3.958
angles: 90.00 90.00 90.00
Space group Cmcm (No. 63)
Symmetry-distinct sites (fractional):
1 Li 0.000 0.073 0.250
2 Li 0.000 0.239 0.750
3 Mn 0.000 0.419 0.250
4 O 0.000 0.089 0.750
5 O 0.000 0.426 0.750
6 F 0.000 0.259 0.250

---

RbSnSN2 | meta-GGA SCAN | single point on PBEsol structure

Calculated volume (Å³ per atom): 47.03
E_tot (eV/atom): -14.819
Uncorrected formation energy (eV/atom): 2.155
D(E_F) (states/eV/f.u.): 2.70
Crystal system: tetragonal
Total magnetization (μB per atom): 1.00

abc: 4.764 4.764 10.360
angles: 90.00 90.00 90.00
Space group P4/mmm (No. 123)
Symmetry-distinct sites (fractional):
1 Rb 0.000 0.000 0.000
2 Sn 0.000 0.000 0.500
3 S 0.500 0.500 0.500
4 N 0.000 0.500 0.000

---

Si2SbW | meta-GGA SCAN | single point on PBEsol structure

Calculated volume (Å³ per atom): 17.61
E_tot (eV/atom): -31.253
Uncorrected formation energy (eV/atom): 0.492
D(E_F) (states/eV/f.u.): 1.80
Crystal system: monoclinic
Total magnetization (μB per atom): 0.00

abc: 8.432 3.316 5.062
angles: 90.00 95.70 90.00
Space group C2/m (No. 12)
Symmetry-distinct sites (fractional):
1 Si 0.223 0.000 0.167
2 Sb 0.000 0.000 0.500
3 W 0.000 0.500 0.000

---

Li2CdSb | meta-GGA SCAN | single point on PBEsol structure

Calculated volume (Å³ per atom): 19.55
E_tot (eV/atom): -18.485
Uncorrected formation energy (eV/atom): -0.372
D(E_F) (states/eV/f.u.): 1.23
Offset from the most stable computed form (eV per formula unit): 0.22
Crystal system: tetragonal
Total magnetization (μB per atom): 0.00

abc: 4.299 4.299 8.465
angles: 90.00 90.00 90.00
Space group I-4m2 (No. 119)
Symmetry-distinct sites (fractional):
1 Li 0.000 0.000 0.000
2 Li 0.000 0.500 0.250
3 Cd 0.000 0.500 0.750
4 Sb 0.000 0.000 0.500

---

K2NaH5C2O8 | meta-GGA SCAN | single point on PBEsol structure

Calculated volume (Å³ per atom): 11.63
E_tot (eV/atom): -7.554
D(E_F) (states/eV/f.u.): 0.00
Crystal system: orthorhombic
Total magnetization (μB per atom): 0.00

abc: 9.336 7.812 11.480
angles: 90.00 90.00 90.00
Space group Pnma (No. 62)
Symmetry-distinct sites (fractional):
1 K 0.207 0.011 0.117
2 Na 0.049 0.750 0.333
3 H 0.005 0.750 0.027
4 H 0.027 0.623 0.702
5 H 0.115 0.117 0.375
6 C 0.146 0.750 0.868
7 C 0.155 0.250 0.856
8 O 0.012 0.250 0.877
9 O 0.017 0.750 0.911
10 O 0.042 0.042 0.336
11 O 0.160 0.750 0.756
12 O 0.192 0.250 0.750
13 O 0.240 0.250 0.943
14 O 0.244 0.250 0.437

---

TlCrTe3 | meta-GGA SCAN | single point on PBEsol structure

Calculated volume (Å³ per atom): 28.74
E_tot (eV/atom): -40.488
Uncorrected formation energy (eV/atom): 0.011
D(E_F) (states/eV/f.u.): 5.62
Crystal system: cubic
Total magnetization (μB per atom): 0.46

abc: 5.238 5.238 5.238
angles: 90.00 90.00 90.00
Space group Pm-3m (No. 221)
Symmetry-distinct sites (fractional):
1 Tl 0.000 0.000 0.000
2 Cr 0.500 0.500 0.500
3 Te 0.000 0.500 0.500